Computed, not measured: a relaxed CaSi2Se crystal at the PBE-GGA level of DFT.

a b c (Å): 3.8976 4.3779 11.6706
angles (deg): 87.92 81.47 86.91
Fractional coordinates of all 8 atoms:
Ca  0.0000  0.0000  0.0000
Ca  0.3583  0.4697  0.2720
Si  0.2837  0.3325  0.5378
Si  0.4302  0.3638  0.7867
Si  0.7765  0.0883  0.6233
Si  0.9583  0.6032  0.6995
Se  0.5037  0.5038  0.9923
Se  0.8687  0.9703  0.2485

Properties
- energy (eV per atom) = -4.7083
- formation energy without anion corrections (meV per atom) = -625
- DOS(E_F) (states/eV per atom) = 0.13
- symmetry = P1, No. 1